The following is a PBE calculation of an optimized crystal structure of IrCO3, from Alexandria.

```
data_IrCO3
_chemical_formula_sum 'Ir1 C1 O3'
_symmetry_space_group_name_H-M 'P 1'
_symmetry_Int_Tables_number 1
_cell_length_a 3.8073
_cell_length_b 3.8073
_cell_length_c 3.8073
_cell_angle_alpha 90.00
_cell_angle_beta 90.00
_cell_angle_gamma 90.00
loop_
_symmetry_equiv_pos_as_xyz
'x,y,z'
loop_
_atom_site_label
_atom_site_type_symbol
_atom_site_fract_x
_atom_site_fract_y
_atom_site_fract_z
Ir1 Ir 0.0000 0.0000 0.0000
C1 C 0.5000 0.5000 0.5000
O1 O 0.5000 0.0000 0.0000
O2 O 0.0000 0.5000 0.0000
O3 O 0.0000 0.0000 0.5000
```

Summary:
VASP energy = -27.29 eV per cell
energy relative to the elements, uncorrected = 109 kJ/mol of atoms
D(E_F) = 0.905 states/eV per atom